A geometry-optimized Sm6Y4Ho structure. Source: Alexandria via LeMat-Bulk, functional PBE. Values from VASP.

Total DFT energy (no corrections) in eV per atom: -5.028
Size of the total moment in μB/f.u.: 0.000
Distance to the lowest polymorph of the same formula in meV/atom: 193
Calculated density in g/cm3: 6.21
ΔE_f in eV per formula unit: 3.44

```
&SYSTEM
  ibrav = 0, nat = 11, ntyp = 3
/
ATOMIC_SPECIES
Sm 150.36 Sm.upf
Y 88.91 Y.upf
Ho 164.93 Ho.upf
CELL_PARAMETERS angstrom
6.676 0.000 0.000
0.000 6.676 0.000
-3.338 -3.338 8.532
ATOMIC_POSITIONS crystal
Sm 0.862 0.487 0.349
Sm 0.487 0.862 0.349
Sm 0.513 0.513 0.651
Sm 0.000 0.500 0.000
Sm 0.138 0.138 0.651
Sm 0.500 0.000 0.000
Y 0.052 0.694 0.746
Y 0.948 0.948 0.254
Y 0.694 0.052 0.746
Y 0.306 0.306 0.254
Ho 0.500 0.500 0.000
```


A geometry-optimized LiCe2TmSe4 structure. Source: Alexandria via LeMat-Bulk, functional PBE. Values from VASP.

Total DFT energy (no corrections) in eV per atom: -5.727
Size of the total moment in μB/f.u.: 2.463
Calculated density in g/cm3: 6.54
Formation energy (no corrections) in eV/atom: -1.703

```
&SYSTEM
  ibrav = 0, nat = 8, ntyp = 4
/
ATOMIC_SPECIES
Li 6.94 Li.upf
Ce 140.12 Ce.upf
Tm 168.93 Tm.upf
Se 78.96 Se.upf
CELL_PARAMETERS angstrom
-3.011 -1.146 -2.536
1.364 -6.865 1.483
-3.907 -2.020 5.551
ATOMIC_POSITIONS crystal
Li 0.500 0.500 0.000
Ce 0.000 0.000 0.000
Ce 0.500 0.000 0.500
Tm 0.000 0.500 0.500
Se 0.000 0.730 0.758
Se 0.000 0.270 0.242
Se 0.500 0.731 0.253
Se 0.500 0.269 0.747
```


A geometry-optimized ZrSiRh2 structure. Source: Alexandria via LeMat-Bulk, functional PBE. Values from VASP.

Total DFT energy (no corrections) in eV per atom: -7.918
Size of the total moment in μB/f.u.: 0.000
Calculated density in g/cm3: 8.51
Formation energy (no corrections) in eV/atom: -0.749

```
&SYSTEM
  ibrav = 0, nat = 4, ntyp = 3
/
ATOMIC_SPECIES
Rh 102.91 Rh.upf
Si 28.09 Si.upf
Zr 91.22 Zr.upf
CELL_PARAMETERS angstrom
4.869 -0.005 -0.010
3.741 3.116 -0.010
1.318 0.476 4.175
ATOMIC_POSITIONS crystal
Rh 0.996 0.996 0.021
Rh 0.773 0.773 0.676
Si 0.487 0.487 0.589
Zr 0.244 0.244 0.215
```


A geometry-optimized Cd2Ge structure. Source: Alexandria via LeMat-Bulk, functional PBE. Values from VASP.

Total DFT energy (no corrections) in eV per atom: -2.007
Size of the total moment in μB/f.u.: 0.000
Calculated density in g/cm3: 7.60
ΔE_f in eV per formula unit: 0.43

```
&SYSTEM
  ibrav = 0, nat = 3, ntyp = 2
/
ATOMIC_SPECIES
Ge 72.64 Ge.upf
Cd 112.41 Cd.upf
CELL_PARAMETERS angstrom
-1.381 -2.376 -1.479
0.766 -1.907 2.349
-5.451 3.588 2.618
ATOMIC_POSITIONS crystal
Ge 0.000 0.000 0.000
Cd 0.664 0.664 0.328
Cd 0.336 0.336 0.672
```


A geometry-optimized CaAcSmY structure. Source: Alexandria via LeMat-Bulk, functional PBE. Values from VASP.

Total DFT energy (no corrections) in eV per atom: -4.264
Size of the total moment in μB/f.u.: 0.000
Distance to the lowest polymorph of the same formula in meV/atom: 0
Calculated density in g/cm3: 5.52
ΔE_f in eV per formula unit: 0.24

```
&SYSTEM
  ibrav = 0, nat = 4, ntyp = 4
/
ATOMIC_SPECIES
Ca 40.08 Ca.upf
Ac 227.00 Ac.upf
Sm 150.36 Sm.upf
Y 88.91 Y.upf
CELL_PARAMETERS angstrom
3.782 0.000 0.004
0.000 3.782 -0.004
-0.014 0.014 10.655
ATOMIC_POSITIONS crystal
Ca 0.646 0.354 0.987
Ac 0.146 0.854 0.707
Sm 0.646 0.354 0.457
Y 0.146 0.854 0.238
```


A geometry-optimized CrNiCl2 structure. Source: Alexandria via LeMat-Bulk, functional PBE. Values from VASP.

Total DFT energy (no corrections) in eV per atom: -4.885
Size of the total moment in μB/f.u.: 4.001
Distance to the lowest polymorph of the same formula in meV/atom: 179
Calculated density in g/cm3: 3.81
Formation energy (no corrections) in eV/atom: -0.111

```
&SYSTEM
  ibrav = 0, nat = 4, ntyp = 3
/
ATOMIC_SPECIES
Ni 58.69 Ni.upf
Cl 35.45 Cl.upf
Cr 52.00 Cr.upf
CELL_PARAMETERS angstrom
-1.188 -1.771 -2.689
2.781 -1.683 1.103
-4.008 -3.813 4.283
ATOMIC_POSITIONS crystal
Ni 0.500 0.500 0.720
Cl 0.000 0.000 0.886
Cl 0.500 0.500 0.355
Cr 0.000 0.000 0.539
```


A geometry-optimized MnIn3Pd structure. Source: Alexandria via LeMat-Bulk, functional PBE. Values from VASP.

Total DFT energy (no corrections) in eV per atom: -4.040
Size of the total moment in μB/f.u.: 2.409
Distance to the lowest polymorph of the same formula in meV/atom: 150
Calculated density in g/cm3: 6.75
ΔE_f in eV per formula unit: 2.38

```
&SYSTEM
  ibrav = 0, nat = 5, ntyp = 3
/
ATOMIC_SPECIES
Mn 54.94 Mn.upf
Pd 106.42 Pd.upf
In 114.82 In.upf
CELL_PARAMETERS angstrom
-4.669 -1.544 0.858
-0.843 -0.182 -4.917
1.552 -4.744 -0.091
ATOMIC_POSITIONS crystal
Mn 0.000 0.000 0.000
Pd 0.500 0.500 0.500
In 0.000 0.500 0.000
In 0.000 0.000 0.500
In 0.500 0.000 0.000
```


A geometry-optimized Pm4HgAu7 structure. Source: Alexandria via LeMat-Bulk, functional PBE. Values from VASP.

Total DFT energy (no corrections) in eV per atom: -4.108
Size of the total moment in μB/f.u.: 0.000
Calculated density in g/cm3: 11.95
ΔE_f in eV per formula unit: -7.05

```
&SYSTEM
  ibrav = 0, nat = 12, ntyp = 3
/
ATOMIC_SPECIES
Pm 145.00 Pm.upf
Hg 200.59 Hg.upf
Au 196.97 Au.upf
CELL_PARAMETERS angstrom
5.212 0.000 0.000
2.606 8.173 0.906
2.606 1.080 7.166
ATOMIC_POSITIONS crystal
Pm 0.565 0.252 0.619
Pm 0.435 0.748 0.381
Pm 0.733 0.730 0.804
Pm 0.267 0.270 0.196
Hg 0.000 0.000 0.000
Au 0.811 0.965 0.413
Au 0.189 0.035 0.587
Au 0.089 0.640 0.183
Au 0.911 0.360 0.817
Au 0.327 0.549 0.797
Au 0.500 0.000 0.000
Au 0.673 0.451 0.203
```